Entry 1:
Below is a relaxed SrPdSe3 crystal, with properties calculated at the PBEsol level.

Output
spin magnetization = 0.40 μB/atom
space-group type = Pm-3m (221)
DFT total energy = -3.116 eV per atom

Unit cell a=5.5950 b=5.5950 c=5.5950 alpha=90.00 beta=90.00 gamma=90.00
Fractional positions:
Sr 0.0000 0.0000 0.0000
Pd 0.5000 0.5000 0.5000
Se 0.0000 0.0000 0.5000
Se 0.0000 0.5000 0.0000
Se 0.5000 0.0000 0.0000



Entry 2:
Below is a relaxed Ta2PdSe6 crystal, with properties calculated at the PBEsol level.

Output
spin magnetization = 0.00 μB/atom
space-group type = C2/m (12)
DFT total energy = -6.718 eV per atom

Unit cell a=6.5434 b=6.5434 c=10.4766 alpha=116.61 beta=116.61 gamma=29.63
Fractional positions:
Ta 0.1778 0.1778 0.2877
Ta 0.8222 0.8222 0.7123
Pd 0.5000 0.5000 0.0000
Se 0.1606 0.1606 0.5372
Se 0.2816 0.2816 0.8734
Se 0.4943 0.4943 0.7628
Se 0.5057 0.5057 0.2372
Se 0.7184 0.7184 0.1266
Se 0.8394 0.8394 0.4628



Entry 3:
Below is a relaxed Ta2Pd3Se8 crystal, with properties calculated at the PBEsol level.

Output
spin magnetization = 0.00 μB/atom
space-group type = Pbam (55)
DFT total energy = -6.306 eV per atom

Unit cell a=10.7442 b=15.1082 c=3.5400 alpha=90.00 beta=90.00 gamma=90.00
Fractional positions:
Ta 0.2062 0.1200 0.0000
Ta 0.2938 0.6200 0.0000
Ta 0.7062 0.3800 0.0000
Ta 0.7938 0.8800 0.0000
Pd 0.0000 0.0000 0.5000
Pd 0.1320 0.7207 0.5000
Pd 0.3680 0.2207 0.5000
Pd 0.5000 0.5000 0.5000
Pd 0.6320 0.7793 0.5000
Pd 0.8680 0.2793 0.5000
Se 0.0362 0.1582 0.5000
Se 0.0556 0.6208 0.0000
Se 0.2276 0.9944 0.5000
Se 0.2383 0.2874 0.0000
Se 0.2617 0.7874 0.0000
Se 0.2724 0.4944 0.5000
Se 0.4444 0.1208 0.0000
Se 0.4638 0.6582 0.5000
Se 0.5362 0.3418 0.5000
Se 0.5556 0.8792 0.0000
Se 0.7276 0.5056 0.5000
Se 0.7383 0.2126 0.0000
Se 0.7617 0.7126 0.0000
Se 0.7724 0.0056 0.5000
Se 0.9444 0.3792 0.0000
Se 0.9638 0.8418 0.5000



Entry 4:
Below is a relaxed Te8Pd5Se2 crystal, with properties calculated at the PBEsol level.

Output
spin magnetization = 0.00 μB/atom
space-group type = Cm (8)
DFT total energy = -4.740 eV per atom

Unit cell a=17.3330 b=17.3330 c=4.9979 alpha=90.20 beta=90.20 gamma=13.22
Fractional positions:
Te 0.0000 0.0000 0.0000
Te 0.1318 0.1318 0.4355
Te 0.3284 0.3284 0.4460
Te 0.3975 0.3975 0.9880
Te 0.5338 0.5338 0.4625
Te 0.7277 0.7277 0.4279
Te 0.7945 0.7945 0.9769
Te 0.9314 0.9314 0.4535
Pd 0.0677 0.0677 0.7322
Pd 0.2602 0.2602 0.7063
Pd 0.4658 0.4658 0.7255
Pd 0.6632 0.6632 0.7167
Pd 0.8630 0.8630 0.7157
Se 0.1951 0.1951 0.9608
Se 0.5994 0.5994 0.9785